[1]
This record from Alexandria describes crystalline Al2TlRe at its relaxed geometry. The functional is PBE-GGA.

Cell lengths 4.148, 4.148, 18.241 Å; angles 90.00, 90.00, 90.00 degrees
Space group I-42d (No. 122)
Inequivalent atoms, fractional coordinates:
Al 0.199 0.250 0.125 x8
Tl 0.000 0.000 0.500 x4
Re 0.000 0.000 0.000 x4

Calculated values
* energy of formation: 0.72 eV per atom
* energy above the lowest structure with this stoichiometry: 0.597 eV per atom

***

[2]
This record from Alexandria describes crystalline AlTl2Re at its relaxed geometry. The functional is PBE-GGA.

Cell lengths 4.229, 4.229, 8.797 Å; angles 90.00, 90.00, 90.00 degrees
Space group I4/mmm (No. 139)
Inequivalent atoms, fractional coordinates:
Al 0.000 0.000 0.000 x2
Tl 0.000 0.500 0.250 x4
Re 0.000 0.000 0.500 x2

Calculated values
* energy of formation: 0.88 eV per atom
* energy above the lowest structure with this stoichiometry: 0.430 eV per atom

***

[3]
This record from Alexandria describes crystalline AlTlRe2 at its relaxed geometry. The functional is PBE-GGA.

Cell lengths 9.729, 3.017, 4.778 Å; angles 90.00, 105.22, 90.00 degrees
Space group Cm (No. 8)
Inequivalent atoms, fractional coordinates:
Al 0.000 0.000 0.000 x2
Tl 0.276 0.500 0.311 x2
Re 0.037 0.500 0.542 x2
Re 0.255 0.000 0.802 x2

Calculated values
* energy of formation: 0.60 eV per atom
* energy above the lowest structure with this stoichiometry: 0.394 eV per atom